Record 1
The following is a DFT calculation (PBE) of a relaxed ZnGeTeO crystal.

- Polymorph energy (0 for the lowest one): 146 meV per atom

Cell: 4.1355 4.1355 8.7980 Å, 90.00 90.00 90.00°
Sites, in units of the cell vectors:
Zn  0.2500  0.2500  0.4844
Ge  0.7500  0.7500  0.1636
O  0.2500  0.7500  0.5000
Zn  0.7500  0.7500  0.5156
Ge  0.2500  0.2500  0.8364
Te  0.7500  0.7500  0.8518
O  0.7500  0.2500  0.5000
Te  0.2500  0.2500  0.1482

***

Record 2
The following is a DFT calculation (PBE) of a relaxed ZnGeTeO crystal.

- Polymorph energy (0 for the lowest one): 30 meV per atom

Cell: 5.6513 8.8470 7.1055 Å, 90.00 90.00 90.00°
Sites, in units of the cell vectors:
Ge  0.8072  0.7591  0.8666
Te  0.0140  0.4870  0.2436
O  0.9594  0.7465  0.6414
Zn  0.7354  0.6424  0.4574
Te  0.5140  0.0130  0.7564
O  0.0406  0.2465  0.8586
Ge  0.6928  0.2409  0.3666
Zn  0.2354  0.8576  0.5426
Te  0.4860  0.5130  0.7436
Ge  0.1928  0.2591  0.6334
Zn  0.7646  0.3576  0.9574
Te  0.9860  0.9870  0.2564
O  0.4594  0.7535  0.3586
Zn  0.2646  0.1424  0.0426
Ge  0.3072  0.7409  0.1334
O  0.5406  0.2535  0.1414

***

Record 3
The following is a DFT calculation (PBE) of a relaxed ZnGeTeO crystal.

- Polymorph energy (0 for the lowest one): 94 meV per atom

Cell: 3.9471 3.9471 9.3632 Å, 90.00 90.00 90.00°
Sites, in units of the cell vectors:
O  0.2500  0.7500  0.5000
Zn  0.7500  0.7500  0.1239
Ge  0.2500  0.2500  0.5907
Ge  0.7500  0.7500  0.4093
Zn  0.2500  0.2500  0.8761
Te  0.2500  0.2500  0.1642
O  0.7500  0.2500  0.5000
Te  0.7500  0.7500  0.8358

***

Record 4
The following is a DFT calculation (PBE) of a relaxed ZnGeTeO crystal.

- Polymorph energy (0 for the lowest one): 219 meV per atom

Cell: 5.2978 5.2978 6.6440 Å, 90.00 90.00 90.00°
Sites, in units of the cell vectors:
O  0.7500  0.7500  0.0503
Te  0.2500  0.7500  0.5000
Ge  0.7500  0.7500  0.7930
Ge  0.2500  0.2500  0.2070
O  0.2500  0.2500  0.9497
Te  0.7500  0.2500  0.5000
Zn  0.2500  0.2500  0.6639
Zn  0.7500  0.7500  0.3361

***

Record 5
The following is a DFT calculation (PBE) of a relaxed ZnGeTeO crystal.

- Polymorph energy (0 for the lowest one): 544 meV per atom

Cell: 4.7780 4.7780 7.2015 Å, 90.00 90.00 90.00°
Sites, in units of the cell vectors:
Te  0.7500  0.7500  0.7151
Te  0.2500  0.2500  0.2849
O  0.7500  0.7500  0.4490
O  0.2500  0.2500  0.5510
Zn  0.7500  0.7500  0.1882
Ge  0.7500  0.2500  0.0000
Ge  0.2500  0.7500  0.0000
Zn  0.2500  0.2500  0.8118

***

Record 6
The following is a DFT calculation (PBE) of a relaxed Tm2GeO4 crystal.

Cell: 6.6524 6.6524 6.6524 Å, 120.00 90.01 120.00°
Sites, in units of the cell vectors:
O  0.1376  0.2752  0.4128
O  0.6124  0.2248  0.8372
O  0.6123  0.2248  0.3876
O  0.1628  0.7752  0.3876
O  0.1377  0.2752  0.8624
O  0.1376  0.7248  0.8623
Tm  0.8750  0.2500  0.6250
Ge  0.7500  0.5000  0.2500
Tm  0.3750  0.7500  0.1250
O  0.6124  0.7752  0.3877
Ge  0.0000  0.0000  0.0000
O  0.5872  0.7248  0.8624
Tm  0.3750  0.7500  0.6250
Tm  0.3750  0.2500  0.6250

***

Record 7
The following is a DFT calculation (PBE) of a relaxed Zr4GeO8 crystal.

Cell: 6.6740 6.6740 10.6444 Å, 124.29 124.29 25.71°
Sites, in units of the cell vectors:
O  0.8671  0.8671  0.2800
O  0.5947  0.5947  0.9910
Zr  0.2416  0.2416  0.6443
O  0.3575  0.3575  0.5374
Zr  0.7584  0.7584  0.3557
Ge  0.0000  0.0000  0.0000
O  0.1012  0.1012  0.2212
Zr  0.5316  0.5316  0.7556
O  0.1329  0.1329  0.7200
O  0.6425  0.6425  0.4626
O  0.8988  0.8988  0.7788
Zr  0.4684  0.4684  0.2444
O  0.4053  0.4053  0.0091

***

Record 8
The following is a DFT calculation (PBE) of a relaxed Zr2Ge2O5 crystal.

- Polymorph energy (0 for the lowest one): 420 meV per atom

Cell: 6.1859 4.0608 4.0608 Å, 90.00 90.00 90.00°
Last column: magnetic moment on the atom in μB.
Sites, in units of the cell vectors:
Ge  0.7960  0.5000  0.5000  0.02
Zr  0.0000  0.0000  0.0000  0.62
O  0.7646  0.0000  0.5000  0.00
O  0.2354  0.5000  0.0000  0.03
O  0.5000  0.5000  0.5000  0.01
Ge  0.2040  0.5000  0.5000  0.02
Zr  0.5000  0.0000  0.0000  -0.28
O  0.2354  0.0000  0.5000  0.00
O  0.7646  0.5000  0.0000  0.03

***

Record 9
The following is a DFT calculation (PBE) of a relaxed Zr2GeO4 crystal.

Cell: 6.5217 6.5217 6.5217 Å, 120.00 90.01 120.00°
Sites, in units of the cell vectors:
Zr  0.3750  0.7500  0.1250
Ge  0.0000  0.0000  0.0000
O  0.1581  0.7721  0.3860
Zr  0.8750  0.2500  0.6250
O  0.1361  0.2721  0.8640
Ge  0.7500  0.5000  0.2500
O  0.6140  0.2279  0.8419
O  0.5919  0.7279  0.8640
O  0.1360  0.2721  0.4081
O  0.1360  0.7279  0.8639
O  0.6140  0.7721  0.3861
Zr  0.3750  0.2500  0.6250
Zr  0.3750  0.7500  0.6250
O  0.6139  0.2279  0.3860

***

Record 10
The following is a DFT calculation (PBE) of a relaxed Zr2Ge2O5 crystal.

- Polymorph energy (0 for the lowest one): 0 meV per atom

Cell: 7.8202 4.1234 4.1234 Å, 90.00 90.00 90.00°
Sites, in units of the cell vectors:
Ge  0.0000  0.0000  0.0000
O  0.7513  0.5000  0.0000
Zr  0.7580  0.5000  0.5000
O  0.2487  0.5000  0.0000
O  0.2487  0.0000  0.5000
O  0.5000  0.5000  0.5000
Zr  0.2420  0.5000  0.5000
O  0.7513  0.0000  0.5000
Ge  0.5000  0.0000  0.0000

***

Record 11
The following is a DFT calculation (PBE) of a relaxed Zr3GeO crystal.

Cell: 5.8174 5.8174 8.6115 Å, 90.00 90.00 144.47°
Sites, in units of the cell vectors:
Zr  0.3642  0.6358  0.4462
Zr  0.9432  0.0568  0.7500
Zr  0.6358  0.3642  0.9462
O  0.0000  0.0000  0.0000
Zr  0.6358  0.3642  0.5538
O  0.0000  0.0000  0.5000
Zr  0.3642  0.6358  0.0538
Zr  0.0568  0.9432  0.2500
Ge  0.2534  0.7466  0.7500
Ge  0.7466  0.2534  0.2500

***

Record 12
The following is a DFT calculation (PBE) of a relaxed Ge2Os crystal.

- Polymorph energy (0 for the lowest one): 1043 meV per atom

Cell: 5.1808 5.1808 5.1808 Å, 60.00 60.00 60.00°
Last column: magnetic moment on the atom in μB.
Sites, in units of the cell vectors:
Os  0.2500  0.2500  0.2500  0.59
Ge  0.6250  0.6250  0.1250  0.01
Ge  0.6250  0.1250  0.6250  0.01
Ge  0.1250  0.6250  0.6250  -0.01
Os  0.0000  0.0000  0.0000  0.59
Ge  0.6250  0.6250  0.6250  0.00

***

| no. | E (eV/f.u.) |
| --- | --- |
| 1 | -16.08 |
| 2 | -16.55 |
| 3 | -16.29 |
| 4 | -15.79 |
| 5 | -14.49 |
| 6 | -52.64 |
| 7 | -111.05 |
| 8 | -63.33 |
| 9 | -56.90 |
| 10 | -67.11 |
| 11 | -42.57 |
| 12 | -16.77 |